A geometry-optimized FeHgAs2 structure. Source: the Alexandria database, functional PBE.

- ΔH_f (0 K): 0.549 eV per atom

Cell: 3.7943 4.2206 4.6951 Å, 90.00 90.00 90.00°
Last column: nearest neighbours and their distance in Å.
Sites, in units of the cell vectors:
1 Fe 0.5000 0.0000 0.5000  4 Hg 2.84, 8 As 3.02-3.16
2 As 0.5000 0.5000 0.0000  4 As 2.84, 4 Hg 3.02, 4 Fe 3.16
3 As 0.0000 0.0000 0.0000  4 As 2.84, 4 Fe 3.02, 4 Hg 3.16
4 Hg 0.0000 0.5000 0.5000  4 Fe 2.84, 8 As 3.02-3.16

A geometry-optimized Na4PuIn3S8 structure. Source: the Alexandria database, functional PBE.

- ΔE_f (raw): -1.001 eV/atom

Cell: 7.8172 8.0921 7.8175 Å, 118.90 120.00 90.00°
Last column: nearest neighbours and their distance in Å.
Sites, in units of the cell vectors:
1 Na 0.5000 0.0000 0.5000  6 S 2.93-2.96
2 Na 0.5000 0.0000 0.0000  6 S 2.87
3 Na 0.0000 0.0000 0.5000  6 S 2.93-2.96
4 Na 0.0000 0.0000 0.0000  6 S 2.94-2.96
5 In 0.5000 0.5000 0.5000  6 S 2.68-2.70
6 In 0.5000 0.5000 0.0000  6 S 2.68-2.70
7 In 0.0000 0.5000 0.5000  6 S 2.68-2.70
8 S 0.2465 0.7261 0.9800  2 In 2.70, 1 Pu 2.77, 3 Na 2.87-2.94
9 S 0.7384 0.7154 0.4768  3 In 2.68, 3 Na 2.96
10 S 0.7335 0.7261 0.9800  2 In 2.70, 1 Pu 2.77, 3 Na 2.87-2.94
11 S 0.2464 0.7258 0.4929  2 In 2.69, 1 Pu 2.77, 3 Na 2.87-2.94
12 S 0.7535 0.2739 0.0200  2 In 2.70, 1 Pu 2.77, 3 Na 2.87-2.94
13 S 0.7536 0.2742 0.5071  2 In 2.69, 1 Pu 2.77, 3 Na 2.87-2.94
14 S 0.2665 0.2739 0.0200  2 In 2.70, 1 Pu 2.77, 3 Na 2.87-2.94
15 S 0.2616 0.2846 0.5232  3 In 2.68, 3 Na 2.96
16 Pu 0.0000 0.5000 0.0000  6 S 2.77

Calculated volume (Å³/f.u.)
75.2 355.4
DOS at the Fermi energy (states/eV/cell)
3.28 9.78